## TbPd2Au4 (GGA-PBE)

Data for TbPd2Au4 after structural relaxation.

Cell lengths 6.999, 6.999, 5.637 Å; angles 128.30, 128.36, 90.01 degrees
Fractional coordinates of all 7 atoms:
Au (0.700, 0.300, 0.000)
Au (0.301, 0.301, 0.000)
Au (0.699, 0.699, 0.000)
Au (0.301, 0.700, 0.000)
Tb (0.000, 0.000, 0.000)
Pd (0.750, 0.250, 0.500)
Pd (0.250, 0.750, 0.500)

Properties
The density of states at the Fermi level is 0.454 states/eV/atom. As for the space-group type: C2/m (12). Its formation energy is -0.47 eV/atom. The offset from the most stable computed form is 0.000 eV/atom.

## TbPd5Au6 (GGA-PBE)

Data for TbPd5Au6 after structural relaxation.

Cell lengths 4.165, 8.155, 7.694 Å; angles 122.00, 105.70, 90.00 degrees
Fractional coordinates of all 12 atoms:
Au (0.169, 0.428, 0.339)
Au (0.831, 0.089, 0.661)
Au (0.169, 0.911, 0.339)
Au (0.500, 0.265, 0.000)
Au (0.500, 0.735, 0.000)
Au (0.831, 0.572, 0.661)
Pd (0.330, 0.330, 0.659)
Pd (0.000, 0.500, 0.000)
Pd (0.670, 0.670, 0.341)
Pd (0.339, 0.839, 0.678)
Pd (0.661, 0.161, 0.322)
Tb (0.000, 0.000, 0.000)

Properties
The density of states at the Fermi level is 0.492 states/eV/atom. As for the space-group type: Immm (71). Its formation energy is -0.32 eV/atom.

## TbPd7Au12 (GGA-PBE)

Data for TbPd7Au12 after structural relaxation.

Cell lengths 8.039, 8.039, 8.039 Å; angles 110.99, 110.99, 110.99 degrees
Fractional coordinates of all 20 atoms:
Tb (0.000, 0.000, 0.000)
Au (0.832, 0.474, 0.515)
Au (0.676, 0.913, 0.225)
Au (0.168, 0.526, 0.485)
Au (0.087, 0.775, 0.324)
Au (0.775, 0.324, 0.087)
Au (0.913, 0.225, 0.676)
Au (0.526, 0.485, 0.168)
Au (0.515, 0.832, 0.474)
Au (0.225, 0.676, 0.913)
Au (0.474, 0.515, 0.832)
Au (0.324, 0.087, 0.775)
Au (0.485, 0.168, 0.526)
Pd (0.851, 0.560, 0.891)
Pd (0.109, 0.149, 0.440)
Pd (0.149, 0.440, 0.109)
Pd (0.891, 0.851, 0.560)
Pd (0.440, 0.109, 0.149)
Pd (0.560, 0.891, 0.851)
Pd (0.500, 0.500, 0.500)

Properties
The density of states at the Fermi level is 0.489 states/eV/atom. As for the space-group type: R-3 (148). Its formation energy is -0.08 eV/atom.

## Tb4PdAu (GGA-PBE)

Data for Tb4PdAu after structural relaxation.

Cell lengths 6.996, 7.061, 7.082 Å; angles 90.00, 92.29, 90.00 degrees
Fractional coordinates of all 12 atoms:
Tb (0.354, 0.843, 0.165)
Tb (0.854, 0.657, 0.165)
Tb (0.170, 0.842, 0.657)
Tb (0.646, 0.157, 0.835)
Tb (0.830, 0.158, 0.343)
Tb (0.330, 0.342, 0.343)
Tb (0.146, 0.343, 0.835)
Tb (0.670, 0.658, 0.657)
Pd (0.000, 0.500, 0.500)
Pd (0.500, 0.000, 0.500)
Au (0.000, 0.000, 0.000)
Au (0.500, 0.500, 0.000)

Properties
The density of states at the Fermi level is 1.251 states/eV/atom. As for the space-group type: P2_1/c (14). Its formation energy is -0.45 eV/atom.

Look up the formation energy of the third one. -0.08 eV/atom

What is the formation energy in the fourth record? -0.45 eV/atom

Among the records above, which one has the highest formation energy? TbPd7Au12